The following is a PBE calculation of a relaxed structure of Mg5Pb, from the Alexandria database.

a b c (Å): 5.676 5.676 5.168
angles (deg): 90.00 90.00 120.00
Sites, in units of the cell vectors:
Mg 0.000 0.658 0.000
Mg 0.333 0.667 0.500
Mg 0.342 0.342 0.000
Mg 0.658 0.000 0.000
Mg 0.667 0.333 0.500
Pb 0.000 0.000 0.500

Calculated values
- E_tot: -1.97 eV per atom
- Space-group type: P-62m (189)
- Formation energy: -0.0274 eV/atom